A relaxed structure of Zn3InGa3. Source: Alexandria, functional PBE.

Calculated values
energy relative to the elements = 0.067 eV per atom
volume = 267.8 Å³ per cell
final energy = -2.168 eV/atom
energy above the most stable polymorph in this dataset = 0.0 kJ per mole of atoms

a b c (Å): 5.015 7.852 7.852
angles (deg): 120.00 90.00 90.00
Sites, in units of the cell vectors:
Zn1 0.750 0.455 0.908
Zn2 0.750 0.454 0.545
Zn3 0.250 0.908 0.454
Zn4 0.750 0.092 0.546
Zn5 0.250 0.546 0.455
Zn6 0.250 0.545 0.092
In1 0.250 0.333 0.667
In2 0.750 0.667 0.333
Ga1 0.750 0.774 0.886
Ga2 0.750 0.112 0.226
Ga3 0.250 0.886 0.112
Ga4 0.750 0.114 0.888
Ga5 0.250 0.888 0.774
Ga6 0.250 0.226 0.114